The following is a DFT calculation (meta-GGA SCAN) of a PBEsol-optimized structure of Tl2InAu.

a b c (Å): 4.631 4.875 8.682
angles (deg): 90.00 90.00 90.00
Atoms (fractional coordinates):
Tl  0.000  0.000  0.000
Tl  0.000  0.500  0.305
Tl  0.500  0.000  0.305
Tl  0.500  0.500  0.000
In  0.000  0.000  0.583
In  0.500  0.500  0.583
Au  0.000  0.500  0.770
Au  0.500  0.000  0.770

## Properties
The calculation puts the calculated total energy at -495.0 eV/cell. The formation energy is -21 kJ/mol of formula units. The density of states at the Fermi level is 0.437 states/eV per atom. As for the space group: Cmm2. The value obtained for the calculated volume is 24.5 A^3/atom.